[1]
## KAlCo2 (PBE)

Data for an optimized crystal structure of KAlCo2.

```
KAlCo2
1.0
5.921 0.009 0.015
3.022 5.092 -0.015
-3.626 -4.034 2.376
Co Al K
2 1 1
Direct
0.802 0.302 0.500 Co
0.992 0.992 0.000 Co
0.201 0.701 0.500 Al
0.505 0.505 0.000 K
```

ΔE_f = 647.6 meV/atom
Crystal system = orthorhombic
SG = Imm2 (44)



[2]
## ZnOsBr2 (PBE)

Data for an optimized crystal structure of ZnOsBr2.

```
ZnOsBr2
1.0
-0.110 -3.327 -0.193
2.044 1.934 -1.788
6.999 -0.655 7.291
Zn Br Os
1 2 1
Direct
0.500 0.500 0.750 Zn
0.000 0.000 0.054 Br
0.000 0.000 0.446 Br
0.500 0.500 0.250 Os
```

Crystal system = orthorhombic
Offset from the most stable computed form = 528 meV/atom
SG = Cmmm (65)